1.
VASP calculation (PBE) on an optimized crystal structure of Sr2TlCu.

The structure in CIF format:
```
data_Sr2TlCu
_space_group_name_H-M_alt 'P 4/m m m'
_space_group_IT_number 123
_space_group_name_Hall '-P 4 2'
_cell_length_a 5.633
_cell_length_b 5.633
_cell_length_c 3.925
_cell_angle_alpha 90.00
_cell_angle_beta 90.00
_cell_angle_gamma 90.00
loop_
_atom_site_label
_atom_site_type_symbol
_atom_site_fract_x
_atom_site_fract_y
_atom_site_fract_z
Sr1 Sr 0.000 0.500 0.000
Tl1 Tl 0.000 0.000 0.500
Cu1 Cu 0.500 0.500 0.500
```

Calculated values
D(E_F)	3.2	states/eV/f.u.
crystal system	tetragonal
total magnetization	0.0000	μB/atom
energy relative to the elements	-0.15	eV per atom


2.
VASP calculation (PBE) on an optimized crystal structure of SrGa3Pt5.

The structure in CIF format:
```
data_SrGa3Pt5
_space_group_name_H-M_alt 'C m c m'
_space_group_IT_number 63
_space_group_name_Hall '-C 2c 2'
_cell_length_a 4.097
_cell_length_b 13.057
_cell_length_c 12.816
_cell_angle_alpha 90.00
_cell_angle_beta 90.00
_cell_angle_gamma 90.00
loop_
_atom_site_label
_atom_site_type_symbol
_atom_site_fract_x
_atom_site_fract_y
_atom_site_fract_z
Sr1 Sr 0.000 0.168 0.250
Ga1 Ga 0.000 0.103 0.750
Ga2 Ga 0.000 0.381 0.544
Pt1 Pt 0.000 0.000 0.000
Pt2 Pt 0.000 0.199 0.572
Pt3 Pt 0.000 0.450 0.143
```

Calculated values
D(E_F)	3.2	states/eV/f.u.
crystal system	orthorhombic
total magnetization	0.0000	μB/atom
energy relative to the elements	-0.70	eV per atom


3.
VASP calculation (PBE) on an optimized crystal structure of Ba2MnAsP.

The structure in CIF format:
```
data_Ba2MnAsP
_space_group_name_H-M_alt 'P 4/m m m'
_space_group_IT_number 123
_space_group_name_Hall '-P 4 2'
_cell_length_a 6.164
_cell_length_b 6.164
_cell_length_c 4.820
_cell_angle_alpha 90.00
_cell_angle_beta 90.00
_cell_angle_gamma 90.00
loop_
_atom_site_label
_atom_site_type_symbol
_atom_site_fract_x
_atom_site_fract_y
_atom_site_fract_z
Ba1 Ba 0.000 0.500 0.000
Mn1 Mn 0.000 0.000 0.500
As1 As 0.500 0.500 0.500
P1 P 0.500 0.500 0.000
```

Calculated values
D(E_F)	4.4	states/eV/f.u.
crystal system	tetragonal
total magnetization	0.8962	μB/atom
energy relative to the elements	0.07	eV per atom


4.
VASP calculation (PBE) on an optimized crystal structure of Tb3HoTm6.

The structure in CIF format:
```
data_Tb3HoTm6
_space_group_name_H-M_alt 'C m c 21'
_space_group_IT_number 36
_cell_length_a 9.453
_cell_length_b 20.754
_cell_length_c 6.296
_cell_angle_alpha 90.00
_cell_angle_beta 90.00
_cell_angle_gamma 90.00
loop_
_space_group_symop_operation_xyz
'x,y,z'
'-x,-y,z+1/2'
'-x,y,z'
'x,-y,z+1/2'
'x+1/2,y+1/2,z'
'-x+1/2,-y+1/2,z+1/2'
'-x+1/2,y+1/2,z'
'x+1/2,-y+1/2,z+1/2'
loop_
_atom_site_label
_atom_site_type_symbol
_atom_site_fract_x
_atom_site_fract_y
_atom_site_fract_z
Tb1 Tb 0.000 0.079 0.000
Tb2 Tb 0.169 0.372 0.606
Ho1 Ho 0.000 0.338 0.079
Tm1 Tm 0.000 0.198 0.306
Tm2 Tm 0.000 0.486 0.276
Tm3 Tm 0.176 0.219 0.764
Tm4 Tm 0.183 0.062 0.527
```

Calculated values
polymorph energy (0 for the lowest one)	0.000	eV/atom
D(E_F)	15.1	states/eV/f.u.
crystal system	orthorhombic
total magnetization	0.0000	μB/atom
energy relative to the elements	0.12	eV per atom


5.
VASP calculation (PBE) on an optimized crystal structure of Rb2UHg2Te4.

The structure in CIF format:
```
data_Rb2UHg2Te4
_space_group_name_H-M_alt 'C 1 2/m 1'
_space_group_IT_number 12
_cell_length_a 18.472
_cell_length_b 4.399
_cell_length_c 9.159
_cell_angle_alpha 90.00
_cell_angle_beta 116.64
_cell_angle_gamma 90.00
loop_
_space_group_symop_operation_xyz
'x,y,z'
'-x,-y,-z'
'-x,y,-z'
'x,-y,z'
'x+1/2,y+1/2,z'
'-x+1/2,-y+1/2,-z'
'-x+1/2,y+1/2,-z'
'x+1/2,-y+1/2,z'
loop_
_atom_site_label
_atom_site_type_symbol
_atom_site_fract_x
_atom_site_fract_y
_atom_site_fract_z
Rb1 Rb 0.131 0.000 0.084
U1 U 0.000 0.000 0.500
Hg1 Hg 0.199 0.500 0.521
Te1 Te 0.021 0.500 0.282
Te2 Te 0.175 0.000 0.735
```

Calculated values
formation energy from raw total energies	-606	meV per atom
D(E_F)	4.6	states/eV/f.u.
crystal system	monoclinic
total magnetization	0.1898	μB/atom


6.
VASP calculation (PBE) on an optimized crystal structure of AlNiTe2I.

The structure in CIF format:
```
data_AlNiTe2I
_space_group_name_H-M_alt 'P 4/m m m'
_space_group_IT_number 123
_space_group_name_Hall '-P 4 2'
_cell_length_a 5.358
_cell_length_b 5.358
_cell_length_c 5.427
_cell_angle_alpha 90.00
_cell_angle_beta 90.00
_cell_angle_gamma 90.00
loop_
_atom_site_label
_atom_site_type_symbol
_atom_site_fract_x
_atom_site_fract_y
_atom_site_fract_z
Al1 Al 0.000 0.000 0.000
Ni1 Ni 0.500 0.500 0.500
Te1 Te 0.000 0.500 0.000
I1 I 0.000 0.000 0.500
```

Calculated values
polymorph energy (0 for the lowest one)	0.412	eV/atom
formation energy from raw total energies	729	meV per atom
D(E_F)	10.9	states/eV/f.u.
crystal system	tetragonal
total magnetization	0.3279	μB/atom


Question: Which value of D(E_F) does entry 1 give?
Answer: 3.2 states/eV/f.u.


Question: Number 4 is which compound?
Answer: Tb3HoTm6


Copy entry 1 word for word.
VASP calculation (PBE) on an optimized crystal structure of Sr2TlCu.

The structure in CIF format:
```
data_Sr2TlCu
_space_group_name_H-M_alt 'P 4/m m m'
_space_group_IT_number 123
_space_group_name_Hall '-P 4 2'
_cell_length_a 5.633
_cell_length_b 5.633
_cell_length_c 3.925
_cell_angle_alpha 90.00
_cell_angle_beta 90.00
_cell_angle_gamma 90.00
loop_
_atom_site_label
_atom_site_type_symbol
_atom_site_fract_x
_atom_site_fract_y
_atom_site_fract_z
Sr1 Sr 0.000 0.500 0.000
Tl1 Tl 0.000 0.000 0.500
Cu1 Cu 0.500 0.500 0.500
```

Calculated values
D(E_F)	3.2	states/eV/f.u.
crystal system	tetragonal
total magnetization	0.0000	μB/atom
energy relative to the elements	-0.15	eV per atom